Here is an optimized crystal structure of Nb4ZnRh5 from Alexandria. Energies are from PBE.

Summary:
formation energy: -0.433 eV/atom
M_tot: 0.000 μB/f.u.
DOS at the Fermi energy: 8.51 states/eV/cell
E: -8.2645 eV/atom

a b c (Å): 2.898 2.898 18.569
angles (deg): 90.00 90.00 90.00
Fractional positions:
1 Nb 0.000 0.000 0.190
2 Nb 0.000 0.000 0.397
3 Nb 0.000 0.000 0.603
4 Nb 0.000 0.000 0.810
5 Zn 0.000 0.000 0.000
6 Rh 0.500 0.500 0.090
7 Rh 0.500 0.500 0.293
8 Rh 0.500 0.500 0.500
9 Rh 0.500 0.500 0.707
10 Rh 0.500 0.500 0.910